! PBE Y3Hg, optimized geometry; values from VASP
&SYSTEM
  ibrav = 0, nat = 4, ntyp = 2
/
ATOMIC_SPECIES
Hg 200.59 Hg.upf
Y 88.91 Y.upf
ATOMIC_POSITIONS angstrom
Hg 0.000 0.000 0.000
Y -0.102 0.066 3.315
Y 3.091 -0.289 1.169
Y 1.789 2.582 -1.065
CELL_PARAMETERS angstrom
-1.404 2.938 1.081
1.200 -2.805 5.549
4.983 2.227 -3.211
! Total energy (eV per atom): -4.9674
! Crystal system: trigonal
! Magnetic moment (μB/cell): 0.00
! Symmetry: No. 166
! Energy of formation from the pure elements (eV/atom): -0.04



! PBE TbAlGaNi, optimized geometry; values from VASP
&SYSTEM
  ibrav = 0, nat = 4, ntyp = 4
/
ATOMIC_SPECIES
Ga 69.72 Ga.upf
Ni 58.69 Ni.upf
Al 26.98 Al.upf
Tb 158.93 Tb.upf
ATOMIC_POSITIONS angstrom
Ga 1.083 2.575 7.998
Ni 0.361 0.858 2.666
Al 0.722 1.716 5.332
Tb 0.000 0.000 0.000
CELL_PARAMETERS angstrom
-1.741 -0.137 4.268
2.828 -0.111 3.641
0.357 3.681 2.755
! Total energy (eV per atom): -4.7050
! Crystal system: cubic
! Magnetic moment (μB/cell): 0.00
! Symmetry: No. 216
! Energy of formation from the pure elements (eV/atom): -0.41



! PBE PuTa, optimized geometry; values from VASP
&SYSTEM
  ibrav = 0, nat = 4, ntyp = 2
/
ATOMIC_SPECIES
Ta 180.95 Ta.upf
Pu 244.00 Pu.upf
ATOMIC_POSITIONS angstrom
Ta 0.396 0.666 1.174
Ta -0.459 5.322 4.220
Pu 1.151 2.495 3.661
Pu -1.214 3.492 1.733
CELL_PARAMETERS angstrom
-0.542 -0.959 3.290
3.052 0.913 0.768
-2.573 6.034 1.335
! Total energy (eV per atom): -12.8319
! Crystal system: monoclinic
! Magnetic moment (μB/cell): 0.00
! Symmetry: No. 11
! Energy of formation from the pure elements (eV/atom): 0.26



! PBE CeMgAgPd, optimized geometry; values from VASP
&SYSTEM
  ibrav = 0, nat = 4, ntyp = 4
/
ATOMIC_SPECIES
Mg 24.30 Mg.upf
Pd 106.42 Pd.upf
Ce 140.12 Ce.upf
Ag 107.87 Ag.upf
ATOMIC_POSITIONS angstrom
Mg -5.656 -1.393 -1.683
Pd -8.484 -2.089 -2.524
Ce 0.000 0.000 0.000
Ag -2.828 -0.696 -0.841
CELL_PARAMETERS angstrom
-4.620 1.719 -0.458
-2.842 -1.512 -3.761
-3.850 -2.992 0.854
! Total energy (eV per atom): -4.2837
! Crystal system: cubic
! Magnetic moment (μB/cell): 0.68
! Symmetry: No. 216
! Energy of formation from the pure elements (eV/atom): -0.39